A relaxed structure of TlRePd3. Source: Alexandria, functional PBEsol.

Cell: 4.868 4.868 4.868 Å, 90.00 90.00 90.00°
Atoms (fractional coordinates):
Pd1 0.000 0.000 0.500
Pd2 0.000 0.500 0.000
Pd3 0.500 0.000 0.000
Re1 0.500 0.500 0.500
Tl1 0.000 0.000 0.000

Calculated values
As for the symmetry: Pm-3m. The value obtained for the magnetic moment is 4.5 μB/f.u. Its density of states at the Fermi level is 0.69 states/eV/atom.

A relaxed structure of PdRh. Source: Alexandria, functional PBEsol.

Cell: 2.710 2.710 4.657 Å, 73.09 73.09 60.00°
Atoms (fractional coordinates):
Rh1 0.500 0.500 0.500
Pd1 0.000 0.000 0.000

Calculated values
As for the symmetry: R-3m. The value obtained for the magnetic moment is 0.0 μB/f.u. Its density of states at the Fermi level is 1.72 states/eV/atom.

no.,energy (eV/cell)
1,-24.3
2,-13.9